# Al2WO6 (PBE+U, relaxed)
data_Al2WO6
_chemical_formula_sum 'Al4 W2 O12'
_space_group_name_H-M_alt 'P 42/m n m'
_space_group_IT_number 136
_space_group_name_Hall '-P 4n 2n'
_cell_length_a 4.5396
_cell_length_b 4.5396
_cell_length_c 8.7433
_cell_angle_alpha 90.00
_cell_angle_beta 90.00
_cell_angle_gamma 90.00
loop_
_atom_site_label
_atom_site_fract_x
_atom_site_fract_y
_atom_site_fract_z
Al1 0.0000 0.0000 0.1641
W1 0.0000 0.0000 0.5000
O1 0.1934 0.1934 0.0000
O2 0.1983 0.1983 0.3324
# Offset from the most stable computed form in eV/atom: 0.000